(1)
ReGeN3: optimized geometry, GGA-PBE.

a b c (Å): 3.909 3.909 3.909
angles (deg): 90.00 90.00 90.00
Atoms (fractional coordinates):
Re 0.000 0.000 0.000
Ge 0.500 0.500 0.500
N 0.000 0.000 0.500
N 0.000 0.500 0.000
N 0.500 0.000 0.000

Output
- Energy relative to the elements, uncorrected: 699 meV per atom
- Symmetry: Pm-3m

---

(2)
Re3GeN: optimized geometry, GGA-PBE.

a b c (Å): 4.081 4.081 4.081
angles (deg): 90.00 90.00 90.00
Atoms (fractional coordinates):
Re 0.000 0.000 0.500
Re 0.000 0.500 0.000
Re 0.500 0.000 0.000
Ge 0.500 0.500 0.500
N 0.000 0.000 0.000

Output
- Energy relative to the elements, uncorrected: 577 meV per atom
- Symmetry: Pm-3m

---

(3)
ReGeN3: optimized geometry, GGA-PBE.

a b c (Å): 3.727 3.727 3.727
angles (deg): 90.00 90.00 90.00
Atoms (fractional coordinates):
Re 0.000 0.000 0.000
Ge 0.500 0.500 0.500
N 0.000 0.500 0.500
N 0.500 0.000 0.500
N 0.500 0.500 0.000

Output
- Energy relative to the elements, uncorrected: 1738 meV per atom
- Symmetry: Pm-3m

---

(4)
ReGeSN2: optimized geometry, GGA-PBE.

a b c (Å): 3.853 3.853 5.151
angles (deg): 90.00 90.00 90.00
Atoms (fractional coordinates):
Re 0.000 0.000 0.000
Ge 0.500 0.500 0.500
S 0.000 0.000 0.500
N 0.000 0.500 0.000
N 0.500 0.000 0.000

Output
- Energy relative to the elements, uncorrected: 450 meV per atom
- Symmetry: P4/mmm

---

(5)
ReGeS2N: optimized geometry, GGA-PBE.

a b c (Å): 4.835 4.835 3.439
angles (deg): 90.00 90.00 90.00
Atoms (fractional coordinates):
Re 0.000 0.000 0.000
Ge 0.500 0.500 0.500
S 0.000 0.500 0.500
S 0.500 0.000 0.500
N 0.500 0.500 0.000

Output
- Energy relative to the elements, uncorrected: 1376 meV per atom
- Symmetry: P4/mmm

---

(6)
ReGeS2N: optimized geometry, GGA-PBE.

a b c (Å): 4.833 4.833 3.740
angles (deg): 90.00 90.00 90.00
Atoms (fractional coordinates):
Re 0.000 0.000 0.000
Ge 0.500 0.500 0.500
S 0.000 0.500 0.000
S 0.500 0.000 0.000
N 0.000 0.000 0.500

Output
- Energy relative to the elements, uncorrected: 292 meV per atom
- Symmetry: P4/mmm

---

no.,density (kg/m³),magnetization (Bohr magnetons per cell),E (eV/atom)
1,8364,0.00,-7.71
2,15766,0.33,-9.48
3,9652,1.81,-6.67
4,6924,0.18,-7.12
5,6961,3.31,-5.35
6,6405,0.00,-6.44